Below is crystalline LiMnZnIr at its relaxed geometry, with properties calculated at the PBE level.

- ΔE_f (eV/atom) = -0.176
- E (eV for the cell shown) = -87.687

a = 6.0667 Å, b = 6.0667 Å, c = 6.0667 Å
α = 90.00°, β = 90.00°, γ = 90.00°
Space group F-43m (No. 216)
One atom of each set of equivalent atoms:
Li  0.0000  0.0000  0.0000 (multiplicity 4)
Mn  0.2500  0.2500  0.2500 (multiplicity 4)
Zn  0.2500  0.2500  0.7500 (multiplicity 4)
Ir  0.0000  0.0000  0.5000 (multiplicity 4)